Record 1
Material: Na2ZrSi6O19
Method: DFT, GGA-PBE
State: relaxed

Cell: 7.4244 7.4244 6.9028 Å, 97.27 97.27 88.70°
Atoms (fractional coordinates):
Na 0.2483 0.2483 0.0132
Na 0.7517 0.7517 0.9868
Zr 0.2366 0.7634 0.0000
Si 0.4746 0.0007 0.7123
Si 0.4798 0.4192 0.7106
Si 0.5808 0.5202 0.2894
Si 0.8999 0.0098 0.7160
Si 0.9902 0.1001 0.2840
Si 0.9993 0.5254 0.2877
O 0.0164 0.8413 0.7982
O 0.0503 0.3164 0.3121
O 0.0505 0.5954 0.0930
O 0.1587 0.9836 0.2018
O 0.1689 0.6155 0.4732
O 0.1970 0.8030 0.5000
O 0.3213 0.5425 0.8048
O 0.3845 0.8311 0.5268
O 0.4046 0.9495 0.9070
O 0.4122 0.2040 0.6698
O 0.4575 0.6787 0.1952
O 0.5320 0.4680 0.5000
O 0.5491 0.3377 0.1259
O 0.6623 0.4509 0.8741
O 0.6836 0.9497 0.6879
O 0.7960 0.5878 0.3302
O 0.8101 0.0591 0.1202
O 0.9409 0.1899 0.8798
O 0.9436 0.0564 0.5000

* space group: C2 (5)

Record 2
Material: NaZrSi2O7
Method: DFT, GGA-PBE
State: relaxed

Cell: 5.5259 7.0513 8.7633 Å, 69.68 88.34 88.19°
Atoms (fractional coordinates):
Na 0.2180 0.3096 0.0474
Na 0.7820 0.6904 0.9526
Zr 0.2403 0.6980 0.2418
Zr 0.7597 0.3020 0.7582
Si 0.2432 0.6254 0.6696
Si 0.2899 0.9579 0.8072
Si 0.7101 0.0421 0.1928
Si 0.7568 0.3746 0.3304
O 0.0146 0.4577 0.2359
O 0.0881 0.1387 0.7790
O 0.2138 0.7811 0.9791
O 0.2512 0.6259 0.4845
O 0.2756 0.8607 0.6623
O 0.4352 0.9683 0.1877
O 0.4595 0.4832 0.7811
O 0.5405 0.5168 0.2189
O 0.5648 0.0317 0.8123
O 0.7244 0.1393 0.3377
O 0.7488 0.3741 0.5155
O 0.7862 0.2189 0.0209
O 0.9119 0.8613 0.2210
O 0.9854 0.5423 0.7641

* space group: P-1 (2)

Record 3
Material: NaSmO2
Method: DFT, GGA-PBE
State: relaxed

Cell: 5.9793 5.9793 5.9793 Å, 34.38 34.38 34.38°
Atoms (fractional coordinates):
Na 0.0000 0.0000 0.0000
Sm 0.5000 0.5000 0.5000
O 0.2382 0.2382 0.2382
O 0.7618 0.7618 0.7618

* space group: R-3m (166)

Record 4
Material: NaSm2O4
Method: DFT, GGA-PBE
State: relaxed

Cell: 6.2474 6.2474 6.2474 Å, 110.68 110.68 107.09°
Atoms (fractional coordinates):
Na 0.0000 0.0000 0.0000
Na 0.7500 0.2500 0.5000
Sm 0.2326 0.6250 0.1076
Sm 0.3750 0.4826 0.6076
Sm 0.5174 0.1250 0.8924
Sm 0.8750 0.7674 0.3924
O 0.1430 0.2359 0.7431
O 0.1499 0.7428 0.7569
O 0.2572 0.0141 0.4071
O 0.4928 0.3999 0.2569
O 0.6001 0.8570 0.0929
O 0.6070 0.8501 0.5929
O 0.7641 0.5072 0.9071
O 0.9859 0.3930 0.2431

* space group: I-42d (122)

Record 5
Material: NaSmO2
Method: DFT, GGA-PBE
State: relaxed

Cell: 6.3669 6.3669 6.3669 Å, 136.56 136.56 63.12°
Atoms (fractional coordinates):
Na 0.3750 0.6250 0.7500
Na 0.6250 0.3750 0.2500
Sm 0.1250 0.8750 0.2500
Sm 0.8750 0.1250 0.7500
O 0.0940 0.3440 0.7500
O 0.3440 0.0940 0.2500
O 0.6560 0.9060 0.7500
O 0.9060 0.6560 0.2500

* space group: I4_1/amd (141)

Record 6
Material: Na3SmO3
Method: DFT, GGA-PBE
State: relaxed

Cell: 7.0099 7.0099 7.0099 Å, 120.47 119.47 90.05°
Atoms (fractional coordinates):
Na 0.0000 0.2134 0.2134
Na 0.0000 0.7866 0.7866
Na 0.4741 0.2241 0.2500
Na 0.5000 0.2134 0.7134
Na 0.5000 0.7866 0.2866
Na 0.5259 0.7759 0.7500
Sm 0.0249 0.7749 0.2500
Sm 0.9751 0.2251 0.7500
O 0.2235 0.0000 0.7235
O 0.2235 0.5000 0.2235
O 0.2417 0.9917 0.2500
O 0.7583 0.0083 0.7500
O 0.7765 0.0000 0.2765
O 0.7765 0.5000 0.7765

* space group: Imma (74)

The evaluated formation energy (no corrections) for the records listed, in turn: -2063.4; -2604.2; -2676.2; -2629.1; -2702.1; -1967.6 meV/atom.